No. 1
# CdCuPt2 GGA-PBE optimized geometry
data_CdCuPt2
_symmetry_space_group_name_H-M 'P 1'
_symmetry_Int_Tables_number 1
_cell_length_a 4.866
_cell_length_b 4.866
_cell_length_c 4.855
_cell_angle_alpha 77.96
_cell_angle_beta 77.96
_cell_angle_gamma 34.32
loop_
_symmetry_equiv_pos_as_xyz
'x,y,z'
loop_
_atom_site_label
_atom_site_fract_x
_atom_site_fract_y
_atom_site_fract_z
Cd1 0.750 0.750 0.750
Cu1 0.250 0.250 0.250
Pt1 0.507 0.507 0.489
Pt2 0.993 0.993 0.011
# * ΔE_f: -0.1762 eV per atom
# * final energy: -4.45 eV/atom

=====

No. 2
# Si2SbW GGA-PBE optimized geometry
data_Si2SbW
_symmetry_space_group_name_H-M 'P 1'
_symmetry_Int_Tables_number 1
_cell_length_a 9.652
_cell_length_b 9.652
_cell_length_c 9.652
_cell_angle_alpha 18.59
_cell_angle_beta 18.59
_cell_angle_gamma 18.59
loop_
_symmetry_equiv_pos_as_xyz
'x,y,z'
loop_
_atom_site_label
_atom_site_fract_x
_atom_site_fract_y
_atom_site_fract_z
Si1 0.244 0.244 0.244
Sb1 0.769 0.769 0.769
W1 0.513 0.513 0.513
Si2 0.973 0.973 0.973
# * ΔE_f (raw): 0.508 eV per atom
# * final energy: -6.47 eV/atom

=====

No. 3
# YVSb2I GGA-PBE optimized geometry
data_YVSb2I
_symmetry_space_group_name_H-M 'P 1'
_symmetry_Int_Tables_number 1
_cell_length_a 5.826
_cell_length_b 5.826
_cell_length_c 5.777
_cell_angle_alpha 90.00
_cell_angle_beta 90.00
_cell_angle_gamma 90.00
loop_
_symmetry_equiv_pos_as_xyz
'x,y,z'
loop_
_atom_site_label
_atom_site_fract_x
_atom_site_fract_y
_atom_site_fract_z
I1 0.000 0.000 0.500
V1 0.500 0.500 0.500
Sb1 0.000 0.500 0.000
Y1 0.000 0.000 0.000
Sb2 0.500 0.000 0.000
# * ΔE_f (raw): 0.877 eV per atom
# * E above lowest polymorph: 801 meV/atom
# * final energy: -4.20 eV/atom

=====

No. 4
# Ba2NaFeH6 GGA-PBE optimized geometry
data_Ba2NaFeH6
_symmetry_space_group_name_H-M 'P 1'
_symmetry_Int_Tables_number 1
_cell_length_a 5.768
_cell_length_b 5.581
_cell_length_c 5.581
_cell_angle_alpha 120.00
_cell_angle_beta 90.00
_cell_angle_gamma 90.00
loop_
_symmetry_equiv_pos_as_xyz
'x,y,z'
loop_
_atom_site_label
_atom_site_fract_x
_atom_site_fract_y
_atom_site_fract_z
H1 0.837 0.140 0.281
Fe1 0.000 0.000 0.000
Ba1 0.820 0.667 0.333
H2 0.163 0.281 0.140
Na1 0.500 0.000 0.000
H3 0.163 0.860 0.719
H4 0.163 0.860 0.140
H5 0.837 0.140 0.860
H6 0.837 0.719 0.860
Ba2 0.180 0.333 0.667
# * final energy: -3.69 eV/atom

=====

No. 5
# Ce3Pm3ErS8 GGA-PBE optimized geometry
data_Ce3Pm3ErS8
_symmetry_space_group_name_H-M 'P 1'
_symmetry_Int_Tables_number 1
_cell_length_a 8.050
_cell_length_b 8.047
_cell_length_c 8.037
_cell_angle_alpha 120.03
_cell_angle_beta 90.01
_cell_angle_gamma 120.00
loop_
_symmetry_equiv_pos_as_xyz
'x,y,z'
loop_
_atom_site_label
_atom_site_fract_x
_atom_site_fract_y
_atom_site_fract_z
S1 0.758 0.515 0.257
S2 0.250 0.500 0.250
S3 0.242 0.000 0.258
Pm1 0.000 0.000 0.000
Ce1 0.500 0.000 0.500
S4 0.242 0.000 0.742
S5 0.758 0.000 0.742
Pm2 0.500 0.500 0.000
Ce2 0.000 0.500 0.500
Er1 0.000 0.000 0.500
S6 0.242 0.485 0.743
S7 0.758 0.000 0.258
Ce3 0.500 0.500 0.500
S8 0.750 0.500 0.750
Pm3 0.000 0.500 0.000
# * ΔE_f (raw): -2.052 eV per atom
# * final energy: -6.69 eV/atom

=====

No. 6
# Nd11Dy4Y9 GGA-PBE optimized geometry
data_Nd11Dy4Y9
_symmetry_space_group_name_H-M 'P 1'
_symmetry_Int_Tables_number 1
_cell_length_a 3.684
_cell_length_b 15.484
_cell_length_c 15.484
_cell_angle_alpha 113.10
_cell_angle_beta 90.00
_cell_angle_gamma 90.00
loop_
_symmetry_equiv_pos_as_xyz
'x,y,z'
loop_
_atom_site_label
_atom_site_fract_x
_atom_site_fract_y
_atom_site_fract_z
Nd1 0.000 0.369 0.631
Nd2 0.000 0.631 0.369
Dy1 0.500 0.242 0.445
Nd3 0.000 0.044 0.406
Nd4 0.000 0.956 0.594
Dy2 0.500 0.445 0.242
Y1 0.500 0.786 0.932
Y2 0.500 0.068 0.214
Nd5 0.000 0.406 0.044
Y3 0.500 0.631 0.165
Y4 0.500 0.165 0.631
Nd6 0.000 0.000 0.000
Y5 0.500 0.835 0.369
Dy3 0.500 0.555 0.758
Nd7 0.000 0.707 0.707
Nd8 0.000 0.160 0.840
Dy4 0.500 0.758 0.555
Nd9 0.000 0.293 0.293
Y6 0.500 0.932 0.786
Nd10 0.000 0.840 0.160
Nd11 0.000 0.594 0.956
Y7 0.500 0.500 0.500
Y8 0.500 0.214 0.068
Y9 0.500 0.369 0.835
# * ΔE_f: 0.0478 eV per atom
# * final energy: -5.33 eV/atom